(1)
A geometry-optimized ZnAsAu2 structure. Source: Alexandria via LeMat-Bulk, functional PBE.

Cell and atoms, written as POSCAR:
```
ZnAsAu2
1.0
-0.500 3.249 -3.767
-3.209 0.824 1.137
1.744 3.068 2.414
As Au Zn
1 2 1
direct
0.500 0.804 0.777
0.000 0.957 0.971
0.500 0.289 0.277
0.000 0.450 0.475
```

Results
Space group: Pm, No. 6
Formation energy in eV/atom: 0.03
Final energy in eV/atom: -3.09



(2)
A geometry-optimized LaY2Er4Sc structure. Source: Alexandria via LeMat-Bulk, functional PBE.

Cell and atoms, written as POSCAR:
```
LaY2Er4Sc
1.0
9.207 -0.015 -1.711
-0.022 9.207 -1.711
-5.833 -5.837 8.197
La Y Er Sc
2 4 8 2
direct
0.000 0.500 0.000
0.000 0.500 0.500
0.500 0.000 0.000
0.500 0.000 0.500
0.000 0.000 0.500
0.500 0.500 0.000
0.239 0.761 0.000
0.739 0.261 0.500
0.261 0.739 0.500
0.761 0.239 0.000
0.751 0.748 0.986
0.752 0.749 0.514
0.248 0.251 0.486
0.249 0.252 0.014
0.500 0.500 0.500
0.000 0.000 0.000
```

Results
Space group: Imma, No. 74
Formation energy in eV/atom: 0.43
Final energy in eV/atom: -4.87



(3)
A geometry-optimized MgSiSn structure. Source: Alexandria via LeMat-Bulk, functional PBE.

Cell and atoms, written as POSCAR:
```
MgSiSn
1.0
-5.380 0.242 0.940
0.565 -1.273 3.562
2.617 6.021 1.736
Mg Si Sn
2 2 2
direct
0.828 0.250 0.825
0.172 0.750 0.175
0.361 0.250 0.940
0.639 0.750 0.060
0.238 0.250 0.524
0.762 0.750 0.476
```

Results
Space group: P2_1/m, No. 11
Uncorrected formation energy in eV/atom: 0.02
Final energy in eV/atom: -3.65



(4)
A geometry-optimized Zr4Mn5 structure. Source: Alexandria via LeMat-Bulk, functional PBE.

Cell and atoms, written as POSCAR:
```
Zr4Mn5
1.0
-4.380 4.380 2.010
4.380 -4.380 2.010
4.380 4.380 -2.010
Zr Mn
4 5
direct
0.000 0.301 0.301
0.000 0.699 0.699
0.699 0.000 0.699
0.301 0.000 0.301
0.000 0.000 0.000
0.656 0.344 0.000
0.656 0.656 0.312
0.344 0.344 0.688
0.344 0.656 0.000
```

Results
Space group: I4/mmm, No. 139
Formation energy in eV/atom: 0.11
Final energy in eV/atom: -8.78



(5)
A geometry-optimized Pm3SbAs structure. Source: Alexandria via LeMat-Bulk, functional PBE.

Cell and atoms, written as POSCAR:
```
Pm3SbAs
1.0
-3.194 -2.787 0.900
5.423 -6.450 -0.726
3.433 1.124 15.669
Pm Sb As
12 4 4
direct
0.250 0.353 0.545
0.750 0.835 0.214
0.750 0.511 0.893
0.750 0.011 0.607
0.750 0.647 0.455
0.250 0.989 0.393
0.250 0.853 0.955
0.750 0.335 0.286
0.250 0.665 0.714
0.250 0.165 0.786
0.750 0.147 0.045
0.250 0.489 0.107
0.750 0.880 0.804
0.250 0.120 0.196
0.750 0.380 0.696
0.250 0.620 0.304
0.250 0.296 0.951
0.250 0.796 0.549
0.750 0.204 0.451
0.750 0.704 0.049
```

Results
Space group: Pnma, No. 62
Uncorrected formation energy in eV/atom: -1.10
Final energy in eV/atom: -5.70